Record 1
4
Lattice="5.348 0.000 0.000 2.674 4.631 0.000 2.674 1.544 4.366" Properties=species:S:1:pos:R:3 comment="KZr2Tl GGA-PBE relaxed" spacegroup="F-43m, No. 216" total_magnetization_mub_per_cell=2.593 de_polymorph_mev_per_atom=544 formation_energy_mev_per_atom=705 pbc="T T T"
K 5.348 3.088 2.183
Zr 0.000 0.000 0.000
Zr 2.674 1.544 1.092
Tl 8.022 4.631 3.275

=====

Record 2
4
Lattice="-1.632 1.126 -4.939 -5.202 0.336 -1.071 -2.198 4.729 -1.063" Properties=species:S:1:pos:R:3 comment="LiSmHoPb GGA-PBE relaxed" spacegroup="F-43m, No. 216" total_magnetization_mub_per_cell=0.000 formation_energy_mev_per_atom=-279 pbc="T T T"
Pb -4.516 3.095 -3.537
Sm -2.258 1.548 -1.768
Ho -6.775 4.643 -5.305
Li 0.000 0.000 0.000

=====

Record 3
10
Lattice="-0.006 2.193 5.041 -8.583 -3.502 1.513 7.896 -4.661 2.037" Properties=species:S:1:pos:R:3 comment="LaNd7Mg2 GGA-PBE relaxed" spacegroup="Cmmm, No. 65" total_magnetization_mub_per_cell=0.000 de_polymorph_mev_per_atom=380 formation_energy_mev_per_atom=513 pbc="T T T"
Nd -2.495 -5.429 5.356
Nd -4.992 -3.754 1.627
Nd 4.305 -4.409 1.923
Nd 1.801 -0.541 3.235
Nd -2.060 -0.269 3.112
Nd -0.347 -2.985 4.295
Nd 1.367 -5.701 5.479
Mg 2.980 -3.219 4.401
Mg -3.673 -2.751 4.190
La 0.000 0.000 0.000

=====

Record 4
4
Lattice="-2.501 1.021 -0.355 -1.080 -2.326 0.919 0.109 2.641 6.816" Properties=species:S:1:pos:R:3 comment="Li2CoIr GGA-PBE relaxed" spacegroup="P4mm, No. 99" total_magnetization_mub_per_cell=0.163 de_polymorph_mev_per_atom=106 formation_energy_mev_per_atom=40 pbc="T T T"
Li -1.760 0.088 2.195
Li 0.107 2.585 6.673
Co 0.056 1.357 3.502
Ir -1.711 1.265 5.233